A geometry-optimized K2Pm2O5 structure. Source: OQMD, functional PBE-GGA.

Properties
**Energy above the lowest structure with this stoichiometry**: 1001.8 meV/atom
**Electronic total energy**: -5.1500 eV per atom
**Space-group type**: P4/mmm, No. 123

Cell lengths 4.3610, 4.3610, 7.3102 Å; angles 90.00, 90.00, 90.00 degrees
With the nearest neighbours (Å) after each atom.
Positions (direct):
K  0.0000  0.0000  0.1899  5 O 2.18-2.27
K  0.0000  0.0000  0.8101  5 O 2.18-2.27
Pm  0.5000  0.5000  0.0000  8 O 2.63
Pm  0.5000  0.5000  0.5000  12 O 3.08
O  0.0000  0.0000  0.5000  2 K 2.27
O  0.0000  0.5000  0.2023  2 K 2.18
O  0.0000  0.5000  0.7977  2 K 2.18
O  0.5000  0.0000  0.2023  2 K 2.18
O  0.5000  0.0000  0.7977  2 K 2.18

=====

A geometry-optimized KPmO3 structure. Source: OQMD, functional PBE-GGA.

Properties
**Electronic total energy**: -5.8928 eV per atom
**Space-group type**: R-3, No. 148

Cell lengths 6.2935, 6.2935, 6.2935 Å; angles 62.32, 62.32, 62.32 degrees
With the nearest neighbours (Å) after each atom.
Positions (direct):
K  0.1200  0.1200  0.1200  6 O 2.76-2.78
K  0.8800  0.8800  0.8800  6 O 2.76-2.78
Pm  0.3541  0.3541  0.3541  6 O 2.28-2.31
Pm  0.6459  0.6459  0.6459  6 O 2.28-2.31
O  0.0444  0.4974  0.6800  2 Pm 2.28-2.31
O  0.3200  0.9556  0.5026  2 Pm 2.28-2.31
O  0.4974  0.6800  0.0444  2 Pm 2.28-2.31
O  0.5026  0.3200  0.9556  2 Pm 2.28-2.31
O  0.6800  0.0444  0.4974  2 Pm 2.28-2.31
O  0.9556  0.5026  0.3200  2 Pm 2.28-2.31

=====

A geometry-optimized KPmO3 structure. Source: OQMD, functional PBE-GGA.

Properties
**Electronic total energy**: -5.9050 eV per atom
**Space-group type**: R-3c, No. 167

Cell lengths 6.2861, 6.2861, 6.2861 Å; angles 61.27, 61.27, 61.27 degrees
With the nearest neighbours (Å) after each atom.
Positions (direct):
K  0.2500  0.2500  0.2500  3 O 2.78
K  0.7500  0.7500  0.7500  3 O 2.78
Pm  0.0000  0.0000  0.0000  6 O 2.28
Pm  0.5000  0.5000  0.5000  6 O 2.28
O  0.1836  0.7500  0.3164  2 Pm 2.28
O  0.2500  0.6836  0.8164  2 Pm 2.28
O  0.3164  0.1836  0.7500  2 Pm 2.28
O  0.6836  0.8164  0.2500  2 Pm 2.28
O  0.7500  0.3164  0.1836  2 Pm 2.28
O  0.8164  0.2500  0.6836  2 Pm 2.28

=====

A geometry-optimized KPmO3 structure. Source: OQMD, functional PBE-GGA.

Properties
**Electronic total energy**: -5.9023 eV per atom
**Space-group type**: Pnma, No. 62

Cell lengths 6.3341, 8.9324, 6.3273 Å; angles 90.00, 90.00, 90.00 degrees
With the nearest neighbours (Å) after each atom.
Positions (direct):
K  0.0186  0.2500  0.0029  6 O 2.79-3.11
K  0.4814  0.7500  0.5029  6 O 2.79-3.11
K  0.5186  0.2500  0.4971  6 O 2.79-3.11
K  0.9814  0.7500  0.9971  6 O 2.79-3.11
Pm  0.0000  0.0000  0.5000  6 O 2.27-2.28
Pm  0.0000  0.5000  0.5000  6 O 2.27-2.28
Pm  0.5000  0.0000  0.0000  6 O 2.27-2.28
Pm  0.5000  0.5000  0.0000  6 O 2.27-2.28
O  0.0253  0.7500  0.4359  2 Pm 2.28
O  0.2186  0.5333  0.7826  2 Pm 2.27-2.28
O  0.2186  0.9667  0.7826  2 Pm 2.27-2.28
O  0.2814  0.0333  0.2826  2 Pm 2.27-2.28
O  0.2814  0.4667  0.2826  2 Pm 2.27-2.28
O  0.4747  0.2500  0.9359  2 Pm 2.28
O  0.5253  0.7500  0.0641  2 Pm 2.28
O  0.7186  0.5333  0.7174  2 Pm 2.27-2.28
O  0.7186  0.9667  0.7174  2 Pm 2.27-2.28
O  0.7814  0.0333  0.2174  2 Pm 2.27-2.28
O  0.7814  0.4667  0.2174  2 Pm 2.27-2.28
O  0.9747  0.2500  0.5641  2 Pm 2.28

=====

A geometry-optimized KPm2O4 structure. Source: OQMD, functional PBE-GGA.

Properties
**Electronic total energy**: -6.9157 eV per atom
**Space-group type**: Fd-3m, No. 227

Cell lengths 7.2382, 7.2382, 7.2382 Å; angles 60.00, 60.00, 60.00 degrees
With the nearest neighbours (Å) after each atom.
Positions (direct):
K  0.1250  0.1250  0.1250  4 O 2.59
K  0.8750  0.8750  0.8750  4 O 2.59
Pm  0.0000  0.5000  0.5000  6 O 2.36
Pm  0.5000  0.0000  0.5000  6 O 2.36
Pm  0.5000  0.5000  0.0000  6 O 2.36
Pm  0.5000  0.5000  0.5000  6 O 2.36
O  0.2714  0.2714  0.2714  3 Pm 2.36, 1 K 2.59
O  0.2714  0.2714  0.6859  3 Pm 2.36, 1 K 2.59
O  0.2714  0.6859  0.2714  3 Pm 2.36, 1 K 2.59
O  0.3141  0.7286  0.7286  3 Pm 2.36, 1 K 2.59
O  0.6859  0.2714  0.2714  3 Pm 2.36, 1 K 2.59
O  0.7286  0.3141  0.7286  3 Pm 2.36, 1 K 2.59
O  0.7286  0.7286  0.3141  3 Pm 2.36, 1 K 2.59
O  0.7286  0.7286  0.7286  3 Pm 2.36, 1 K 2.59

=====

A geometry-optimized KPmSO structure. Source: OQMD, functional PBE-GGA.

Properties
**Energy above the lowest structure with this stoichiometry**: 113.4 meV/atom
**Electronic total energy**: -5.8753 eV per atom
**Space-group type**: Pmc2_1, No. 26

Cell lengths 4.5701, 8.0358, 6.5008 Å; angles 90.00, 90.00, 90.00 degrees
With the nearest neighbours (Å) after each atom.
Positions (direct):
K  0.0000  0.1952  0.0000  2 O 2.88, 2 S 3.14-3.16
K  0.0000  0.8048  0.5000  2 O 2.88, 2 S 3.14-3.16
Pm  0.5000  0.3656  0.4315  2 O 2.18
Pm  0.5000  0.6344  0.9315  2 O 2.18
S  0.0000  0.1974  0.5169  2 Pm 2.71
S  0.0000  0.8026  0.0169  2 Pm 2.71
O  0.5000  0.3994  0.0984  2 Pm 2.18
O  0.5000  0.6006  0.5984  2 Pm 2.18

=====

A geometry-optimized KPmSO structure. Source: OQMD, functional PBE-GGA.

Properties
**Energy above the lowest structure with this stoichiometry**: 11.6 meV/atom
**Electronic total energy**: -5.9771 eV per atom
**Space-group type**: C2, No. 5

Cell lengths 4.1187, 4.1187, 11.3450 Å; angles 100.29, 100.29, 90.01 degrees
With the nearest neighbours (Å) after each atom.
Positions (direct):
K  0.2003  0.2003  0.3984  5 S 3.11-3.36
K  0.7997  0.7997  0.6016  5 S 3.11-3.36
Pm  0.5410  0.0611  0.1020  4 O 2.34-2.35
Pm  0.9389  0.4590  0.8980  4 O 2.34-2.35
S  0.3474  0.3498  0.7042  2 Pm 2.95-2.97, 4 K 3.11-3.13, 1 O 3.25
S  0.6502  0.6526  0.2958  2 Pm 2.95-2.97, 4 K 3.11-3.13, 1 O 3.25
O  0.4890  0.5110  0.0000  4 Pm 2.34
O  0.9893  0.0107  0.0000  4 Pm 2.34-2.35

=====

A geometry-optimized KPmSO structure. Source: OQMD, functional PBE-GGA.

Properties
**Energy above the lowest structure with this stoichiometry**: 213.1 meV/atom
**Electronic total energy**: -5.7756 eV per atom
**Space-group type**: Pca2_1, No. 29

Cell lengths 7.8856, 9.3805, 5.6950 Å; angles 90.00, 90.00, 90.00 degrees
With the nearest neighbours (Å) after each atom.
Positions (direct):
K  0.1134  0.0891  0.0000  3 O 2.63-2.89
K  0.3866  0.0891  0.5000  3 O 2.63-2.89
K  0.6134  0.9109  0.0000  3 O 2.63-2.89
K  0.8866  0.9109  0.5000  3 O 2.63-2.89
Pm  0.0541  0.6520  0.0064  1 O 2.05
Pm  0.4459  0.6520  0.5064  1 O 2.05
Pm  0.5541  0.3480  0.0064  1 O 2.05
Pm  0.9459  0.3480  0.5064  1 O 2.05
S  0.0922  0.6236  0.5066  4 Pm 2.80-2.88
S  0.4078  0.6236  0.0066  4 Pm 2.80-2.88
S  0.5922  0.3764  0.5066  4 Pm 2.80-2.88
S  0.9078  0.3764  0.0066  4 Pm 2.80-2.88
O  0.0584  0.1509  0.5084  1 Pm 2.05
O  0.4416  0.1509  0.0084  1 Pm 2.05
O  0.5584  0.8491  0.5084  1 Pm 2.05
O  0.9416  0.8491  0.0084  1 Pm 2.05

=====

A geometry-optimized KPmSO structure. Source: OQMD, functional PBE-GGA.

Properties
**Energy above the lowest structure with this stoichiometry**: 0.0 meV/atom
**Electronic total energy**: -5.9887 eV per atom
**Space-group type**: P2_1/c, No. 14

Cell lengths 7.5484, 7.5739, 6.6179 Å; angles 90.00, 104.46, 90.00 degrees
With the nearest neighbours (Å) after each atom.
Positions (direct):
K  0.0835  0.2439  0.0078  2 O 2.76-3.04
K  0.0835  0.2561  0.5078  2 O 2.76-3.04
K  0.9165  0.7439  0.4922  2 O 2.76-3.04
K  0.9165  0.7561  0.9922  2 O 2.76-3.04
Pm  0.4671  0.6266  0.2678  3 O 2.32-2.34
Pm  0.4671  0.8734  0.7678  3 O 2.32-2.34
Pm  0.5329  0.1266  0.2322  3 O 2.32-2.34
Pm  0.5329  0.3734  0.7322  3 O 2.32-2.34
S  0.2424  0.5872  0.8406  3 Pm 2.87-2.96, 3 K 3.15-3.18
S  0.2424  0.9128  0.3406  3 Pm 2.87-2.96, 3 K 3.15-3.18
S  0.7576  0.0872  0.6594  3 Pm 2.87-2.96, 3 K 3.15-3.18
S  0.7576  0.4128  0.1594  3 Pm 2.87-2.96, 3 K 3.15-3.18
O  0.3920  0.1493  0.8794  3 Pm 2.32-2.34
O  0.3920  0.3507  0.3794  3 Pm 2.32-2.34
O  0.6080  0.6493  0.6206  3 Pm 2.32-2.34
O  0.6080  0.8507  0.1206  3 Pm 2.32-2.34

=====

A geometry-optimized KPmSO structure. Source: OQMD, functional PBE-GGA.

Properties
**Energy above the lowest structure with this stoichiometry**: 199.8 meV/atom
**Electronic total energy**: -5.7889 eV per atom
**Space-group type**: P4/nmm, No. 129

Cell lengths 4.1318, 4.1318, 9.9204 Å; angles 90.00, 90.00, 90.00 degrees
With the nearest neighbours (Å) after each atom.
Positions (direct):
K  0.2500  0.7500  0.0000  4 K 2.92, 4 S 3.00
K  0.7500  0.2500  0.0000  4 K 2.92, 4 S 3.00
Pm  0.2500  0.2500  0.3893  4 O 2.34
Pm  0.7500  0.7500  0.6107  4 O 2.34
S  0.2500  0.2500  0.7801  4 K 3.00
S  0.7500  0.7500  0.2199  4 K 3.00
O  0.2500  0.7500  0.5000  4 Pm 2.34
O  0.7500  0.2500  0.5000  4 Pm 2.34

=====

A geometry-optimized KPmTeO structure. Source: OQMD, functional PBE-GGA.

Properties
**Energy above the lowest structure with this stoichiometry**: 0.0 meV/atom
**Electronic total energy**: -5.5688 eV per atom
**Space-group type**: P2_1/c, No. 14

Cell lengths 9.1915, 7.6827, 6.8330 Å; angles 90.00, 101.32, 90.00 degrees
With the nearest neighbours (Å) after each atom.
Positions (direct):
K  0.1342  0.0960  0.3184  1 O 2.67
K  0.1342  0.4040  0.8184  1 O 2.67
K  0.8658  0.5960  0.1816  1 O 2.67
K  0.8658  0.9040  0.6816  1 O 2.67
Pm  0.4866  0.6373  0.7869  3 O 2.24-2.33
Pm  0.4866  0.8627  0.2869  3 O 2.24-2.33
Pm  0.5134  0.1373  0.7131  3 O 2.24-2.33
Pm  0.5134  0.3627  0.2131  3 O 2.24-2.33
Te  0.2431  0.5684  0.3597  3 Pm 3.26-3.35, 1 K 3.45
Te  0.2431  0.9316  0.8597  3 Pm 3.26-3.35, 1 K 3.45
Te  0.7569  0.0684  0.1403  3 Pm 3.26-3.35, 1 K 3.45
Te  0.7569  0.4316  0.6403  3 Pm 3.26-3.35, 1 K 3.45
O  0.4275  0.1410  0.3834  3 Pm 2.24-2.33
O  0.4275  0.3590  0.8834  3 Pm 2.24-2.33
O  0.5725  0.6410  0.1166  3 Pm 2.24-2.33
O  0.5725  0.8590  0.6166  3 Pm 2.24-2.33

=====

A geometry-optimized KPmTeO structure. Source: OQMD, functional PBE-GGA.

Properties
**Energy above the lowest structure with this stoichiometry**: 155.7 meV/atom
**Electronic total energy**: -5.4131 eV per atom
**Space-group type**: Pmc2_1, No. 26

Cell lengths 4.8842, 8.5108, 6.9167 Å; angles 90.00, 90.00, 90.00 degrees
With the nearest neighbours (Å) after each atom.
Positions (direct):
K  0.0000  0.2152  0.0000  2 O 2.99
K  0.0000  0.7848  0.5000  2 O 2.99
Pm  0.5000  0.3865  0.3966  2 O 2.17-2.19
Pm  0.5000  0.6135  0.8966  2 O 2.17-2.19
Te  0.0000  0.1937  0.5112  2 Pm 3.05, 1 K 3.39
Te  0.0000  0.8063  0.0112  2 Pm 3.05, 1 K 3.39
O  0.5000  0.4070  0.0806  2 Pm 2.17-2.19
O  0.5000  0.5930  0.5806  2 Pm 2.17-2.19